{"formula": "Cu6BiS6", "functional": "SCAN", "state": "single point on PBEsol structure", "cell": [[3.6934, 0.0000, 0.0000], [1.8433, 3.3930, 0.0000], [0.0055, 0.1167, 18.4038]], "species": ["Cu", "Cu", "Cu", "Cu", "Cu", "Cu", "Bi", "S", "S", "S", "S", "S", "S"], "frac_coords": [[0.0000, 0.0000, 0.0000], [0.0129, 0.9690, 0.7559], [0.1433, 0.6943, 0.5340], [0.3065, 0.3802, 0.6664], [0.3461, 0.2881, 0.4246], [0.8061, 0.3831, 0.8668], [0.6557, 0.6768, 0.2137], [0.3270, 0.3413, 0.7978], [0.3311, 0.3251, 0.3047], [0.6614, 0.6589, 0.4645], [0.6736, 0.6519, 0.9719], [0.9715, 0.0494, 0.6327], [0.9807, 0.0276, 0.1230]], "raw_formation_energy_ev_per_atom": -0.207, "sg": "P1 (1)", "vol_a3_per_atom": 17.7}

=====

{"formula": "Cu4Bi5S10", "functional": "SCAN", "state": "single point on PBEsol structure", "cell": [[8.6093, -1.9180, 0.0000], [8.6093, 1.9180, 0.0000], [-3.8337, 0.0000, 12.0612]], "species": ["Cu", "Cu", "Cu", "Cu", "Bi", "Bi", "Bi", "Bi", "Bi", "S", "S", "S", "S", "S", "S", "S", "S", "S", "S"], "frac_coords": [[0.0973, 0.0973, 0.0099], [0.2855, 0.2855, 0.4468], [0.7145, 0.7145, 0.5532], [0.9027, 0.9027, 0.9901], [0.0000, 0.0000, 0.5000], [0.1923, 0.1923, 0.8342], [0.4068, 0.4068, 0.7246], [0.5932, 0.5932, 0.2754], [0.8077, 0.8077, 0.1658], [0.0233, 0.0233, 0.1317], [0.1530, 0.1530, 0.4707], [0.2400, 0.2400, 0.2610], [0.3342, 0.3342, 0.9963], [0.4563, 0.4563, 0.3307], [0.5437, 0.5437, 0.6693], [0.6657, 0.6657, 0.0037], [0.7600, 0.7600, 0.7390], [0.8470, 0.8470, 0.5293], [0.9767, 0.9767, 0.8683]], "raw_formation_energy_ev_per_atom": -0.270, "sg": "C2/m (12)", "vol_a3_per_atom": 21.0}

=====

{"formula": "CuBi5S8", "functional": "SCAN", "state": "single point on PBEsol structure", "cell": [[6.5010, -2.0025, 0.0000], [6.5010, 2.0025, 0.0000], [-5.9811, 0.0000, 12.7467]], "species": ["Cu", "Bi", "Bi", "Bi", "Bi", "Bi", "S", "S", "S", "S", "S", "S", "S", "S"], "frac_coords": [[0.0000, 0.0000, 0.0000], [0.0466, 0.6440, 0.6555], [0.3560, 0.9534, 0.3445], [0.3971, 0.0208, 0.8616], [0.7019, 0.2981, 0.5000], [0.9792, 0.6029, 0.1384], [0.0368, 0.6317, 0.4299], [0.0577, 0.6560, 0.8482], [0.3440, 0.9423, 0.1518], [0.3683, 0.9632, 0.5701], [0.5916, 0.1592, 0.0482], [0.7016, 0.2970, 0.3011], [0.7030, 0.2984, 0.6989], [0.8408, 0.4084, 0.9518]], "raw_formation_energy_ev_per_atom": -0.282, "sg": "C2 (5)", "vol_a3_per_atom": 23.7}

=====

{"formula": "Cu3BiS3", "functional": "SCAN", "state": "single point on PBEsol structure", "cell": [[6.2622, 0.0000, 0.0000], [0.0000, 7.4416, 0.0000], [0.0000, 0.0000, 10.4460]], "species": ["Cu", "Cu", "Cu", "Cu", "Cu", "Cu", "Cu", "Cu", "Cu", "Cu", "Cu", "Cu", "Bi", "Bi", "Bi", "Bi", "S", "S", "S", "S", "S", "S", "S", "S", "S", "S", "S", "S"], "frac_coords": [[0.0051, 0.2150, 0.3935], [0.0181, 0.0567, 0.0537], [0.1064, 0.3885, 0.0790], [0.3936, 0.6115, 0.5790], [0.4819, 0.9433, 0.5537], [0.4949, 0.7850, 0.8935], [0.5051, 0.2850, 0.6065], [0.5181, 0.4433, 0.9463], [0.6064, 0.1115, 0.9210], [0.8936, 0.8885, 0.4210], [0.9819, 0.5567, 0.4463], [0.9949, 0.7150, 0.1065], [0.1008, 0.1459, 0.7373], [0.3992, 0.8541, 0.2373], [0.6008, 0.3541, 0.2627], [0.8992, 0.6459, 0.7627], [0.1195, 0.8115, 0.5728], [0.1374, 0.8314, 0.9270], [0.1548, 0.5450, 0.2583], [0.3452, 0.4550, 0.7583], [0.3626, 0.1686, 0.4270], [0.3805, 0.1885, 0.0728], [0.6195, 0.6885, 0.4272], [0.6374, 0.6686, 0.0730], [0.6548, 0.9550, 0.7417], [0.8452, 0.0450, 0.2417], [0.8626, 0.3314, 0.5730], [0.8805, 0.3115, 0.9272]], "raw_formation_energy_ev_per_atom": -0.213, "sg": "P2_12_12_1 (19)", "vol_a3_per_atom": 17.4}